Entry from Alexandria via LeMat-Bulk: a relaxed CsMnF3 crystal (PBE+U).

Computed properties:
As for the final energy: -5.40 eV/atom. The value obtained for the size of the total moment is 20.0 Bohr magnetons per cell.

The structure in CIF format:
```
data_CsMnF3
_chemical_formula_sum 'Cs4 Mn4 F12'
_space_group_name_H-M_alt 'C m c m'
_space_group_IT_number 63
_space_group_name_Hall '-C 2c 2'
_cell_length_a 6.392
_cell_length_b 16.113
_cell_length_c 5.470
_cell_angle_alpha 90.00
_cell_angle_beta 90.00
_cell_angle_gamma 90.00
loop_
_atom_site_label
_atom_site_fract_x
_atom_site_fract_y
_atom_site_fract_z
_atom_site_occupancy
Cs1 0.000 0.173 0.250 1
Mn1 0.000 0.408 0.250 1
F1 0.000 0.500 0.000 1
F2 0.245 0.332 0.250 1
```